Entry from Alexandria via LeMat-Bulk: a relaxed structure of NbCdSi2Au (GGA-PBE).

Cell lengths 4.8684, 5.2497, 4.8684 Å; angles 90.00, 90.00, 90.00 degrees
Fractional positions:
1 Nb 0.0000 0.0000 0.0000
2 Au 0.0000 0.5000 0.0000
3 Si 0.0000 0.0000 0.5000
4 Si 0.5000 0.0000 0.0000
5 Cd 0.5000 0.5000 0.5000

Computed properties:
space-group type	No. 123
formation energy from raw total energies	747	meV/atom
size of the total moment	0.000	μB per atom

=====

Entry from Alexandria via LeMat-Bulk: a relaxed structure of HgRuSe2 (GGA-PBE).

Cell lengths 4.7680, 4.7680, 4.7680 Å; angles 60.00, 60.00, 60.00 degrees
Fractional positions:
1 Hg 0.5000 0.5000 0.5000
2 Ru 0.7500 0.7500 0.7500
3 Se 0.0000 0.0000 0.0000
4 Se 0.2500 0.2500 0.2500

Computed properties:
space-group type	No. 216
formation energy from raw total energies	772	meV/atom
size of the total moment	0.113	μB per atom

=====

Entry from Alexandria via LeMat-Bulk: a relaxed structure of ZrOs2Pt (GGA-PBE).

Cell lengths 4.5300, 4.5300, 4.5300 Å; angles 60.00, 60.00, 60.00 degrees
Fractional positions:
1 Os 0.2500 0.2500 0.2500
2 Os 0.7500 0.7500 0.7500
3 Zr 0.0000 0.0000 0.0000
4 Pt 0.5000 0.5000 0.5000

Computed properties:
space-group type	No. 225
ΔH_f (0 K)	3.5	kcal/mol of atoms
size of the total moment	0.000	μB per atom

=====

Entry from Alexandria via LeMat-Bulk: a relaxed structure of Pm2Pr5Sm4 (GGA-PBE).

Cell lengths 12.3573, 12.3573, 9.0072 Å; angles 83.12, 83.12, 16.48 degrees
Fractional positions:
1 Pm 0.9082 0.9082 0.7317
2 Pm 0.0918 0.0918 0.2683
3 Pr 0.1404 0.1404 0.8829
4 Pr 0.8596 0.8596 0.1171
5 Pr 0.2314 0.2314 0.1778
6 Pr 0.5000 0.5000 0.0000
7 Pr 0.7686 0.7686 0.8222
8 Sm 0.6768 0.6768 0.5303
9 Sm 0.0456 0.0456 0.6379
10 Sm 0.3232 0.3232 0.4697
11 Sm 0.9544 0.9544 0.3621

Computed properties:
space-group type	No. 12
ΔH_f (0 K)	2.9	kcal/mol of atoms
size of the total moment	0.000	μB per atom

=====

Entry from Alexandria via LeMat-Bulk: a relaxed structure of Tm12Zn6Tc (GGA-PBE).

Cell lengths 7.7450, 7.7450, 7.7450 Å; angles 89.98, 89.98, 89.98 degrees
Fractional positions:
1 Tm 0.8027 0.5449 0.4444
2 Tm 0.4444 0.8027 0.5449
3 Tm 0.5449 0.4444 0.8027
4 Tm 0.1973 0.4551 0.5556
5 Tm 0.5556 0.1973 0.4551
6 Tm 0.4551 0.5556 0.1973
7 Tm 0.9939 0.1303 0.3385
8 Tm 0.8697 0.6615 0.0061
9 Tm 0.6615 0.0061 0.8697
10 Tm 0.0061 0.8697 0.6615
11 Tm 0.1303 0.3385 0.9939
12 Tm 0.3385 0.9939 0.1303
13 Zn 0.7079 0.8855 0.2622
14 Zn 0.7378 0.2921 0.1145
15 Zn 0.1145 0.7378 0.2921
16 Zn 0.2921 0.1145 0.7378
17 Zn 0.2622 0.7079 0.8855
18 Zn 0.8855 0.2622 0.7079
19 Tc 0.0000 0.0000 0.0000

Computed properties:
space-group type	No. 148
ΔH_f (0 K)	-2.0	kcal/mol of atoms
size of the total moment	0.000	μB per atom

=====

Entry from Alexandria via LeMat-Bulk: a relaxed structure of SrCu2Tc (GGA-PBE).

Cell lengths 2.9505, 3.1716, 7.5760 Å; angles 90.00, 90.00, 90.00 degrees
Fractional positions:
1 Cu 0.0000 0.0000 0.0133
2 Cu 0.5000 0.5000 0.1781
3 Sr 0.0000 0.0000 0.4921
4 Tc 0.5000 0.5000 0.8165

Computed properties:
space-group type	No. 25
ΔH_f (0 K)	12.9	kcal/mol of atoms
size of the total moment	0.000	μB per atom

=====

Entry from Alexandria via LeMat-Bulk: a relaxed structure of NaLiHoPb (GGA-PBE).

Cell lengths 5.2567, 5.2567, 5.2567 Å; angles 60.00, 60.00, 60.00 degrees
Fractional positions:
1 Pb 0.5000 0.5000 0.5000
2 Na 0.7500 0.7500 0.7500
3 Ho 0.2500 0.2500 0.2500
4 Li 0.0000 0.0000 0.0000

Computed properties:
space-group type	No. 216
ΔH_f (0 K)	-3.7	kcal/mol of atoms
size of the total moment	0.000	μB per atom

=====

Entry from Alexandria via LeMat-Bulk: a relaxed structure of YMo2Pt (GGA-PBE).

Cell lengths 5.4295, 5.4295, 4.7529 Å; angles 74.57, 74.57, 34.68 degrees
Fractional positions:
1 Mo 0.9827 0.9827 0.0628
2 Mo 0.5173 0.5173 0.4372
3 Pt 0.2500 0.2500 0.2500
4 Y 0.7500 0.7500 0.7500

Computed properties:
space-group type	No. 12
ΔH_f (0 K)	0.4	kcal/mol of atoms
size of the total moment	0.000	μB per atom

=====

Entry from Alexandria via LeMat-Bulk: a relaxed structure of Sc4CdIrPd2 (GGA-PBE).

Cell lengths 4.7193, 4.7193, 8.2446 Å; angles 73.37, 73.37, 60.00 degrees
Fractional positions:
1 Sc 0.3832 0.3832 0.8504
2 Sc 0.8687 0.8687 0.3939
3 Sc 0.1313 0.1313 0.6061
4 Sc 0.6168 0.6168 0.1496
5 Cd 0.0000 0.0000 0.0000
6 Ir 0.5000 0.5000 0.5000
7 Pd 0.7473 0.7473 0.7580
8 Pd 0.2527 0.2527 0.2420

Computed properties:
space-group type	No. 166
ΔH_f (0 K)	-18.0	kcal/mol of atoms
size of the total moment	0.000	μB per atom

=====

Entry from Alexandria via LeMat-Bulk: a relaxed structure of BeZnCSO (GGA-PBE).

Cell lengths 3.0131, 3.5073, 6.0080 Å; angles 76.60, 87.13, 87.46 degrees
Fractional positions:
1 C 0.9886 0.1552 0.6007
2 Be 0.1233 0.7896 0.8455
3 Zn 0.0245 0.1092 0.2661
4 S 0.4761 0.4707 0.6177
5 O 0.0526 0.7005 0.0955

Computed properties:
space-group type	No. 1
formation energy from raw total energies	-226	meV/atom
size of the total moment	0.000	μB per atom

=====

Entry from Alexandria via LeMat-Bulk: a relaxed structure of Rb2GaSe2 (GGA-PBE).

Cell lengths 6.7298, 8.5429, 11.1347 Å; angles 127.74, 90.00, 113.20 degrees
Fractional positions:
1 Rb 0.6596 0.3192 0.5149
2 Rb 0.3404 0.6808 0.4851
3 Rb 0.1054 0.2107 0.8292
4 Rb 0.8946 0.7893 0.1708
5 Ga 0.3677 0.7354 0.8315
6 Ga 0.6323 0.2646 0.1685
7 Se 0.1646 0.3292 0.5869
8 Se 0.8354 0.6708 0.4131
9 Se 0.4183 0.8366 0.0955
10 Se 0.5817 0.1634 0.9045

Computed properties:
space-group type	No. 12
formation energy from raw total energies	-764	meV/atom
size of the total moment	0.000	μB per atom

=====

Entry from Alexandria via LeMat-Bulk: a relaxed structure of CsLiPS2 (GGA-PBE).

Cell lengths 5.9472, 5.9472, 5.8958 Å; angles 90.00, 90.00, 90.00 degrees
Fractional positions:
1 Cs 0.0000 0.0000 0.0000
2 P 0.0000 0.0000 0.5000
3 S 0.0000 0.5000 0.0000
4 S 0.5000 0.0000 0.0000
5 Li 0.5000 0.5000 0.5000

Computed properties:
space-group type	No. 123
formation energy from raw total energies	1075	meV/atom
size of the total moment	0.674	μB per atom

=====

Please write out number 12 again, unchanged.
Entry from Alexandria via LeMat-Bulk: a relaxed structure of CsLiPS2 (GGA-PBE).

Cell lengths 5.9472, 5.9472, 5.8958 Å; angles 90.00, 90.00, 90.00 degrees
Fractional positions:
1 Cs 0.0000 0.0000 0.0000
2 P 0.0000 0.0000 0.5000
3 S 0.0000 0.5000 0.0000
4 S 0.5000 0.0000 0.0000
5 Li 0.5000 0.5000 0.5000

Computed properties:
space-group type	No. 123
formation energy from raw total energies	1075	meV/atom
size of the total moment	0.674	μB per atom

=====

- Which formula does entry 3 have?
  ZrOs2Pt